1.
VASP calculation (GGA-PBE) on a relaxed Ti4GaSiH crystal.

The structure in extended XYZ format:
```
14
Lattice="2.620 -7.214 0.000 2.620 7.214 0.000 0.000 0.000 5.221" Properties=species:S:1:pos:R:3 pbc="T T T"
Ti 1.310 3.607 0.000
Ti 1.310 3.607 2.610
Ti 2.620 6.228 3.916
Ti 2.620 1.037 3.916
Ti 1.310 -3.607 0.000
Ti 1.310 -3.607 2.610
Ti 2.620 -1.037 1.305
Ti 2.620 -6.228 1.305
Ga 2.620 1.598 1.305
Ga 2.620 -1.598 3.916
Si 2.620 5.580 1.305
Si 2.620 -5.580 3.916
H 2.620 2.988 3.916
H 2.620 -2.988 1.305
```

Calculated values
Calculated total energy ... -93.99 eV for the cell shown
Symmetry ... Cmcm (63)

=====

2.
VASP calculation (GGA-PBE) on a relaxed GaSiHW2 crystal.

The structure in extended XYZ format:
```
5
Lattice="4.549 0.000 0.000 0.000 4.549 0.000 0.000 0.000 4.503" Properties=species:S:1:pos:R:3 pbc="T T T"
Ga 0.000 0.000 0.000
Si 0.000 0.000 2.252
H 2.275 2.275 0.000
W 0.000 2.275 2.252
W 2.275 0.000 2.252
```

Calculated values
Calculated total energy ... -27.87 eV for the cell shown
Symmetry ... P4/mmm (123)

=====

3.
VASP calculation (GGA-PBE) on a relaxed Sm2GaH crystal.

The structure in extended XYZ format:
```
16
Lattice="5.277 0.000 0.000 0.000 5.288 0.000 0.000 0.000 12.330" Properties=species:S:1:pos:R:3 pbc="T T T"
Sm 0.000 0.000 1.782
Sm 0.000 0.000 10.548
Sm 0.000 2.644 4.383
Sm 0.000 2.644 7.947
Sm 2.638 0.000 4.383
Sm 2.638 0.000 7.947
Sm 2.638 2.644 1.782
Sm 2.638 2.644 10.548
Ga 0.000 0.000 6.165
Ga 0.000 2.644 0.000
Ga 2.638 0.000 0.000
Ga 2.638 2.644 6.165
H 1.319 1.322 9.248
H 1.319 3.966 3.083
H 3.957 1.322 3.083
H 3.957 3.966 9.248
```

Calculated values
E above lowest polymorph ... 0.00 eV per formula unit
Symmetry ... F222 (22)

=====

4.
VASP calculation (GGA-PBE) on a relaxed SmGaH crystal.

The structure in extended XYZ format:
```
12
Lattice="3.746 0.000 0.000 0.000 6.698 0.000 0.000 0.000 9.156" Properties=species:S:1:pos:R:3 pbc="T T T"
Sm 0.000 1.210 2.289
Sm 0.000 5.487 6.867
Sm 1.873 2.138 6.867
Sm 1.873 4.559 2.289
Ga 0.000 3.349 0.000
Ga 0.000 3.349 4.578
Ga 1.873 0.000 0.000
Ga 1.873 0.000 4.578
H 0.000 0.991 6.867
H 0.000 5.707 2.289
H 1.873 2.358 2.289
H 1.873 4.340 6.867
```

Calculated values
E above lowest polymorph ... 0.00 eV per formula unit
Symmetry ... Cmcm (63)

=====

5.
VASP calculation (GGA-PBE) on a relaxed SmGaH crystal.

The structure in extended XYZ format:
```
6
Lattice="3.188 0.000 0.000 0.000 3.188 0.000 0.000 0.000 11.109" Properties=species:S:1:pos:R:3 pbc="T T T"
Sm 0.000 0.000 0.000
Sm 1.594 1.594 5.554
Ga 0.000 0.000 8.010
Ga 1.594 1.594 2.455
H 0.000 0.000 5.055
H 1.594 1.594 10.609
```

Calculated values
E above lowest polymorph ... 0.61 eV per formula unit
Symmetry ... I4mm (107)

=====

6.
VASP calculation (GGA-PBE) on a relaxed Sm3GaH2 crystal.

The structure in extended XYZ format:
```
12
Lattice="5.020 0.000 0.000 0.000 11.664 0.000 0.000 0.000 4.069" Properties=species:S:1:pos:R:3 pbc="T T T"
Sm 1.255 0.568 0.988
Sm 1.255 5.264 0.988
Sm 1.255 8.748 2.747
Sm 3.765 2.916 1.322
Sm 3.765 6.400 3.081
Sm 3.765 11.096 3.081
Ga 1.255 2.916 3.101
Ga 3.765 8.748 0.968
H 1.255 6.431 2.998
H 1.255 11.065 2.998
H 3.765 0.599 1.070
H 3.765 5.233 1.070
```

Calculated values
Calculated total energy ... -53.40 eV for the cell shown
Symmetry ... Pmmn (59)

=====

7.
VASP calculation (GGA-PBE) on a relaxed Sm3Ga2H crystal.

The structure in extended XYZ format:
```
12
Lattice="5.699 -3.119 0.000 5.699 3.119 0.000 -2.015 0.000 7.947" Properties=species:S:1:pos:R:3 pbc="T T T"
Sm 4.188 2.420 5.960
Sm 3.323 0.732 2.814
Sm 2.315 -0.732 6.788
Sm 7.068 0.732 1.159
Sm 6.061 -0.732 5.133
Sm 5.195 -2.420 1.987
Ga 1.805 0.862 0.122
Ga 0.798 -0.862 4.095
Ga 8.586 0.862 3.851
Ga 7.578 -0.862 7.825
H 4.188 0.212 5.960
H 5.195 -0.212 1.987
```

Calculated values
Calculated total energy ... -52.83 eV for the cell shown
Symmetry ... C2/c (15)

=====

8.
VASP calculation (GGA-PBE) on a relaxed Sm2GaH crystal.

The structure in extended XYZ format:
```
4
Lattice="3.353 0.000 0.000 0.000 3.353 0.000 0.000 0.000 7.302" Properties=species:S:1:pos:R:3 pbc="T T T"
Sm 0.000 0.000 1.703
Sm 0.000 0.000 5.599
Ga 1.676 1.676 3.651
H 1.676 1.676 0.000
```

Calculated values
E above lowest polymorph ... 1.17 eV per formula unit
Symmetry ... P4/mmm (123)